VASP calculation (GGA-PBE) on a relaxed structure of PrNd2TmP4.

a b c (Å): 7.141 4.128 7.142
angles (deg): 90.00 109.46 90.00
Space group P2/m (No. 10)
One atom of each set of equivalent atoms:
Pr1 0.000 0.000 0.000 [1 per cell]
Nd1 0.000 0.500 0.500 [1 per cell]
Nd2 0.500 0.000 0.500 [1 per cell]
Tm1 0.500 0.500 0.000 [1 per cell]
P1 0.256 0.500 0.247 [2 per cell]
P2 0.259 0.000 0.758 [2 per cell]

Summary:
**Formation energy**: -1531 meV/atom
**Crystal system**: monoclinic
**DOS(E_F)**: 0.6 states/eV/f.u.
**E**: -6.584 eV per atom

***

VASP calculation (GGA-PBE) on a relaxed structure of PrNd3Y2P6.

a b c (Å): 7.144 12.373 7.143
angles (deg): 90.00 109.46 90.00
Space group C2/m (No. 12)
One atom of each set of equivalent atoms:
Pr1 0.000 0.000 0.000 [2 per cell]
Nd1 0.000 0.166 0.500 [4 per cell]
Nd2 0.000 0.500 0.500 [2 per cell]
Y1 0.000 0.333 0.000 [4 per cell]
P1 0.242 0.500 0.244 [4 per cell]
P2 0.249 0.330 0.755 [8 per cell]

Summary:
**Formation energy**: -1555 meV/atom
**Crystal system**: monoclinic
**DOS(E_F)**: 1.5 states/eV/f.u.
**E**: -6.928 eV per atom

***

VASP calculation (GGA-PBE) on a relaxed structure of PrNdY2P4.

a b c (Å): 7.098 4.104 7.104
angles (deg): 90.00 109.48 90.00
Space group P2/m (No. 10)
One atom of each set of equivalent atoms:
Pr1 0.000 0.000 0.000 [1 per cell]
Nd1 0.000 0.500 0.500 [1 per cell]
Y1 0.500 0.000 0.500 [1 per cell]
Y2 0.500 0.500 0.000 [1 per cell]
P1 0.260 0.000 0.752 [2 per cell]
P2 0.260 0.500 0.254 [2 per cell]

Summary:
**Formation energy**: -1571 meV/atom
**Crystal system**: monoclinic
**DOS(E_F)**: 0.8 states/eV/f.u.
**E**: -7.085 eV per atom

***

VASP calculation (GGA-PBE) on a relaxed structure of Pr2NdYP4.

a b c (Å): 7.183 4.152 7.184
angles (deg): 90.00 109.46 90.00
Space group P2/m (No. 10)
One atom of each set of equivalent atoms:
Pr1 0.000 0.000 0.000 [1 per cell]
Pr2 0.000 0.500 0.500 [1 per cell]
Nd1 0.500 0.000 0.500 [1 per cell]
Y1 0.500 0.500 0.000 [1 per cell]
P1 0.255 0.500 0.248 [2 per cell]
P2 0.258 0.000 0.757 [2 per cell]

Summary:
**Formation energy**: -1541 meV/atom
**Crystal system**: monoclinic
**DOS(E_F)**: 0.6 states/eV/f.u.
**E**: -6.845 eV per atom